Here is a geometry-optimized Si2TcOs structure from Alexandria via LeMat-Bulk. Energies are from PBE-GGA.

```
4
Lattice="5.6310 0.3187 -0.0755 3.3860 4.5106 0.0755 -4.2085 -2.9748 2.2924" Properties=species:S:1:pos:R:3 pbc="T T T"
Si 3.3521 0.0863 1.1085
Si 0.2417 0.1294 0.0000
Os 1.5595 1.8233 1.1839
Tc 4.1638 2.2300 0.0000
```

Output
Total moment: 0.00 Bohr magnetons per cell
Symmetry: Imm2 (44)
ΔE_f (raw): -1.09 eV/f.u.
Crystal system: orthorhombic
Calculated density: 10.17 g/cm³